(1)
Below is a geometry-optimized BaZn2Ni structure, with properties calculated at the PBE-GGA level.

Output
**Total magnetization**: 0.000 μB/f.u.
**E_form**: 255 meV/atom

Cell lengths 5.054, 5.054, 5.054 Å; angles 60.00, 60.00, 60.00 degrees
Positions (direct):
1 Ni 0.000 0.000 0.000
2 Zn 0.250 0.250 0.250
3 Zn 0.750 0.750 0.750
4 Ba 0.500 0.500 0.500

(2)
Below is a geometry-optimized TmNi5Sn structure, with properties calculated at the PBE-GGA level.

Output
**Total magnetization**: 0.000 μB/f.u.
**E_form**: -382 meV/atom

Cell lengths 4.844, 8.012, 10.222 Å; angles 90.00, 90.00, 90.00 degrees
Positions (direct):
1 Tm 0.250 0.253 0.940
2 Tm 0.750 0.247 0.440
3 Tm 0.250 0.753 0.560
4 Tm 0.750 0.747 0.060
5 Ni 0.250 0.586 0.017
6 Ni 0.750 0.914 0.517
7 Ni 0.250 0.086 0.483
8 Ni 0.750 0.414 0.983
9 Ni 0.750 0.312 0.757
10 Ni 0.250 0.188 0.257
11 Ni 0.750 0.812 0.743
12 Ni 0.250 0.688 0.243
13 Ni 0.250 0.951 0.099
14 Ni 0.750 0.549 0.599
15 Ni 0.250 0.451 0.401
16 Ni 0.750 0.049 0.901
17 Ni 0.999 0.434 0.191
18 Ni 0.001 0.066 0.691
19 Ni 0.501 0.934 0.309
20 Ni 0.499 0.566 0.809
21 Ni 0.001 0.566 0.809
22 Ni 0.999 0.934 0.309
23 Ni 0.499 0.066 0.691
24 Ni 0.501 0.434 0.191
25 Sn 0.250 0.860 0.861
26 Sn 0.750 0.640 0.361
27 Sn 0.250 0.360 0.639
28 Sn 0.750 0.140 0.139

(3)
Below is a geometry-optimized HoB4Os4 structure, with properties calculated at the PBE-GGA level.

Output
**Total magnetization**: 0.000 μB/f.u.
**E_form**: -376 meV/atom

Cell lengths 4.021, 7.543, 7.543 Å; angles 90.00, 90.00, 90.00 degrees
Positions (direct):
1 Ho 0.000 0.000 0.000
2 Ho 0.500 0.500 0.500
3 B 0.614 0.836 0.281
4 B 0.614 0.164 0.719
5 B 0.114 0.781 0.664
6 B 0.886 0.336 0.781
7 B 0.886 0.664 0.219
8 B 0.386 0.281 0.164
9 B 0.386 0.719 0.836
10 B 0.114 0.219 0.336
11 Os 0.384 0.354 0.892
12 Os 0.884 0.608 0.854
13 Os 0.384 0.646 0.108
14 Os 0.116 0.146 0.608
15 Os 0.616 0.892 0.646
16 Os 0.116 0.854 0.392
17 Os 0.884 0.392 0.146
18 Os 0.616 0.108 0.354